# 1
An optimized crystal structure of PmZrSc2, computed with PBE-GGA. Values from VASP.

```
&SYSTEM
  ibrav = 0, nat = 4, ntyp = 3
/
ATOMIC_SPECIES
Pm 145.00 Pm.upf
Zr 91.22 Zr.upf
Sc 44.96 Sc.upf
CELL_PARAMETERS angstrom
0.000 3.723 3.723
3.723 0.000 3.723
3.723 3.723 0.000
ATOMIC_POSITIONS angstrom
Pm 0.000 0.000 0.000
Zr 3.723 3.723 3.723
Sc 1.862 1.862 1.862
Sc 5.585 5.585 5.585
```

Computed properties:
The energy above the most stable polymorph in this dataset is 0.43 eV per formula unit. Its formation energy from the elements is 0.14 eV per atom. The space group is No. 225. As for the volume: 25.802 Å³ per atom. As for the total moment: 0.00 Bohr magnetons per cell.

***

# 2
An optimized crystal structure of TiAgPd14, computed with PBE-GGA. Values from VASP.

```
&SYSTEM
  ibrav = 0, nat = 16, ntyp = 3
/
ATOMIC_SPECIES
Ti 47.87 Ti.upf
Ag 107.87 Ag.upf
Pd 106.42 Pd.upf
CELL_PARAMETERS angstrom
5.633 0.000 0.000
0.000 5.633 0.000
0.000 0.000 7.815
ATOMIC_POSITIONS angstrom
Ti 0.000 0.000 0.000
Ag 2.817 2.817 0.000
Pd 0.000 0.000 3.908
Pd 0.000 2.817 0.000
Pd 0.000 2.817 3.908
Pd 1.380 1.380 1.926
Pd 1.380 1.380 5.889
Pd 1.380 4.253 1.926
Pd 1.380 4.253 5.889
Pd 2.817 0.000 0.000
Pd 2.817 0.000 3.908
Pd 2.817 2.817 3.908
Pd 4.253 1.380 1.926
Pd 4.253 1.380 5.889
Pd 4.253 4.253 1.926
Pd 4.253 4.253 5.889
```

Computed properties:
Its formation energy from the elements is -0.17 eV per atom. The space group is No. 123. As for the volume: 15.500 Å³ per atom. As for the total moment: 0.00 Bohr magnetons per cell.

***

# 3
An optimized crystal structure of Rb3Ga5F12, computed with PBE-GGA. Values from VASP.

```
&SYSTEM
  ibrav = 0, nat = 80, ntyp = 3
/
ATOMIC_SPECIES
Rb 85.47 Rb.upf
Ga 69.72 Ga.upf
F 19.00 F.upf
CELL_PARAMETERS angstrom
-7.400 7.400 7.400
7.400 -7.400 7.400
7.400 7.400 -7.400
ATOMIC_POSITIONS angstrom
Rb 3.700 1.850 0.000
Rb 7.400 3.700 -1.850
Rb 1.850 0.000 3.700
Rb 9.250 0.000 3.700
Rb 0.000 3.700 1.850
Rb 3.700 -1.850 7.400
Rb 3.700 9.250 0.000
Rb 7.400 3.700 5.550
Rb -1.850 7.400 3.700
Rb 5.550 7.400 3.700
Rb 0.000 3.700 9.250
Rb 3.700 5.550 7.400
Ga 0.000 0.000 0.000
Ga 3.700 3.700 -3.700
Ga 3.700 -3.700 3.700
Ga 7.400 0.000 0.000
Ga 11.099 1.850 0.000
Ga 7.400 -3.700 5.550
Ga 5.550 7.400 -3.700
Ga 5.550 0.000 3.700
Ga 3.700 5.550 0.000
Ga 7.400 3.700 1.850
Ga -3.700 3.700 3.700
Ga 0.000 7.400 0.000
Ga 0.000 0.000 7.400
Ga 3.700 3.700 3.700
Ga 0.000 3.700 5.550
Ga 3.700 1.850 7.400
Ga 1.850 7.400 3.700
Ga 1.850 0.000 11.099
Ga 0.000 11.099 1.850
Ga -3.700 5.550 7.400
F 2.466 -0.659 0.807
F 8.634 4.507 -4.359
F 9.865 0.659 0.807
F 8.634 -2.893 4.359
F 6.741 -0.807 2.466
F 11.758 -1.234 2.893
F 0.807 2.466 -0.659
F 10.292 3.041 -1.234
F 4.507 4.359 -1.234
F 6.593 2.466 0.659
F -0.659 0.807 2.466
F 4.359 -1.234 4.507
F 6.741 6.593 -2.466
F 4.359 1.234 2.893
F 4.507 -4.359 8.634
F 6.593 -2.466 6.741
F 2.893 4.359 1.234
F 8.207 4.934 0.659
F 4.359 8.634 -2.893
F 6.741 0.807 4.934
F 2.466 6.741 -0.807
F 8.634 2.893 3.041
F 1.234 2.893 4.359
F 2.466 0.659 6.593
F 4.934 6.741 0.807
F 6.165 4.507 3.041
F -1.234 4.507 4.359
F 4.934 0.659 8.207
F 0.659 6.593 2.466
F 3.041 -1.234 10.292
F -0.807 2.466 6.741
F 4.507 3.041 6.165
F 0.807 9.865 0.659
F 2.893 11.758 -1.234
F 3.041 6.165 4.507
F 0.659 0.807 9.865
F 3.041 8.634 2.893
F 8.058 6.593 4.934
F 0.807 4.934 6.741
F 2.893 3.041 8.634
F -2.893 4.359 8.634
F 6.593 4.934 8.058
F -4.359 8.634 4.507
F 0.659 8.207 4.934
F -1.234 10.292 3.041
F -2.466 6.741 6.593
F -1.234 2.893 11.758
F 4.934 8.058 6.593
```

Computed properties:
As for the raw formation energy: -51.85 kcal/mol of atoms. The space group is No. 230. As for the volume: 20.258 Å³ per atom. As for the total moment: 0.00 Bohr magnetons per cell.

***

# 4
An optimized crystal structure of LaCd4Hg6, computed with PBE-GGA. Values from VASP.

```
&SYSTEM
  ibrav = 0, nat = 11, ntyp = 3
/
ATOMIC_SPECIES
La 138.91 La.upf
Cd 112.41 Cd.upf
Hg 200.59 Hg.upf
CELL_PARAMETERS angstrom
8.189 0.000 0.000
-4.094 7.092 0.000
0.000 0.000 4.787
ATOMIC_POSITIONS angstrom
La 0.000 0.000 0.000
Cd -1.739 5.181 2.394
Cd 0.477 2.995 2.394
Cd 1.262 6.007 2.394
Cd 4.094 2.364 0.000
Hg -1.222 3.269 0.000
Hg -0.653 6.515 0.000
Hg 2.495 1.100 2.394
Hg 1.875 4.399 0.000
Hg 3.800 4.381 2.394
Hg 5.988 1.610 2.394
```

Computed properties:
The energy above the most stable polymorph in this dataset is 0.00 eV per formula unit. Its formation energy from the elements is -0.09 eV per atom. The space group is No. 174. As for the volume: 25.273 Å³ per atom. As for the total moment: 0.00 Bohr magnetons per cell.

***

# 5
An optimized crystal structure of Pm8C3N, computed with PBE-GGA. Values from VASP.

```
&SYSTEM
  ibrav = 0, nat = 12, ntyp = 3
/
ATOMIC_SPECIES
Pm 145.00 Pm.upf
C 12.01 C.upf
N 14.01 N.upf
CELL_PARAMETERS angstrom
6.344 -3.654 0.000
6.344 3.654 0.000
-4.255 0.000 6.466
ATOMIC_POSITIONS angstrom
Pm -0.026 0.000 4.622
Pm 3.165 1.839 4.621
Pm 5.268 1.839 1.844
Pm 2.103 0.000 1.819
Pm 6.331 0.000 4.647
Pm 3.165 -1.839 4.621
Pm 5.268 -1.839 1.844
Pm 8.459 0.000 1.843
C 1.044 1.827 3.233
C 1.044 -1.827 3.233
C 4.217 0.000 3.233
N -2.128 0.000 3.233
```

Computed properties:
As for the raw formation energy: -7.93 kcal/mol of atoms. The space group is No. 12. As for the volume: 24.981 Å³ per atom. As for the total moment: 1.50 Bohr magnetons per cell.

***

# 6
An optimized crystal structure of Pm4Zn2Ag3, computed with PBE-GGA. Values from VASP.

```
&SYSTEM
  ibrav = 0, nat = 9, ntyp = 3
/
ATOMIC_SPECIES
Pm 145.00 Pm.upf
Zn 65.41 Zn.upf
Ag 107.87 Ag.upf
CELL_PARAMETERS angstrom
4.434 -2.560 0.000
4.434 2.560 0.000
-0.011 0.000 9.547
ATOMIC_POSITIONS angstrom
Pm 0.001 0.000 3.227
Pm 2.944 0.000 8.463
Pm 5.914 0.000 1.084
Pm 8.857 0.000 6.320
Zn 2.958 0.000 2.091
Zn 5.900 0.000 7.457
Ag 0.000 0.000 0.000
Ag 2.951 0.000 4.875
Ag 5.908 0.000 4.672
```

Computed properties:
Its formation energy from the elements is -0.23 eV per atom. The space group is No. 12. As for the volume: 24.088 Å³ per atom. As for the total moment: 0.00 Bohr magnetons per cell.